1.
BePPdO: optimized geometry, GGA-PBE.

Properties
Excess energy over the best structure of this formula in the dataset in meV/atom: 15
Crystal system: tetragonal
Calculated density in g cm⁻³: 5.018

Cell lengths 3.6095, 3.6095, 8.2491 Å; angles 90.00, 90.00, 90.00 degrees
Last column: nearest neighbours and their distance in Å.
Atoms (fractional coordinates):
Be 0.5000 0.5000 0.0186  4 O 1.81
P 0.0000 0.0000 0.6899  4 Pd 2.39, 1 Be 2.40
O 0.0000 0.5000 0.0000  4 Be 1.81
Pd 0.5000 0.0000 0.5000  4 P 2.39, 4 Pd 2.55
Pd 0.0000 0.5000 0.5000  4 P 2.39, 4 Pd 2.55
P 0.5000 0.5000 0.3101  4 Pd 2.39, 1 Be 2.40
O 0.5000 0.0000 0.0000  4 Be 1.81
Be 0.0000 0.0000 0.9814  4 O 1.81


2.
PmBePO: optimized geometry, GGA-PBE.

Properties
Excess energy over the best structure of this formula in the dataset in meV/atom: 326
Crystal system: orthorhombic
Calculated density in g cm⁻³: 5.508

Cell lengths 3.1106, 5.7682, 6.7545 Å; angles 90.00, 90.00, 90.00 degrees
Last column: nearest neighbours and their distance in Å.
Atoms (fractional coordinates):
Be 0.0000 0.7159 0.4668  2 O 1.76
Pm 0.5000 0.7914 0.0899  2 O 2.31-2.33
O 0.5000 0.8510 0.4282  2 Be 1.76
Be 0.0000 0.2841 0.9668  2 O 1.76
P 0.0000 0.5976 0.7691  2 Be 2.15-2.25
P 0.0000 0.4024 0.2691  2 Be 2.15-2.25
O 0.5000 0.1490 0.9282  2 Be 1.76
Pm 0.5000 0.2086 0.5899  2 O 2.31-2.33


3.
PmBePO: optimized geometry, GGA-PBE.

Properties
Excess energy over the best structure of this formula in the dataset in meV/atom: 0
Crystal system: tetragonal
Calculated density in g cm⁻³: 5.358

Cell lengths 3.8232, 3.8232, 8.5224 Å; angles 90.00, 90.00, 90.00 degrees
Last column: nearest neighbours and their distance in Å.
Atoms (fractional coordinates):
P 0.0000 0.5000 0.6429  4 Be 2.27
O 0.5000 0.5000 0.0000  4 Pm 2.28
Pm 0.5000 0.0000 0.8543  4 O 2.28
Be 0.0000 0.0000 0.5000  4 P 2.27
P 0.5000 0.0000 0.3571  4 Be 2.27
Pm 0.0000 0.5000 0.1457  4 O 2.28
O 0.0000 0.0000 0.0000  4 Pm 2.28
Be 0.5000 0.5000 0.5000  4 P 2.27


4.
PmBePO: optimized geometry, GGA-PBE.

Properties
Excess energy over the best structure of this formula in the dataset in meV/atom: 1479
Crystal system: tetragonal
Calculated density in g cm⁻³: 4.601

Cell lengths 3.9975, 3.9975, 9.0788 Å; angles 90.00, 90.00, 90.00 degrees
Last column: nearest neighbours and their distance in Å.
Atoms (fractional coordinates):
Be 0.0000 0.5000 0.9867  4 O 2.00
O 0.0000 0.0000 0.0000  4 Be 2.00
Pm 0.0000 0.0000 0.5000  4 P 2.75, 4 Pm 2.83
O 0.5000 0.5000 0.0000  4 Be 2.00
P 0.5000 0.0000 0.2922  1 Be 2.53, 4 Pm 2.75
P 0.0000 0.5000 0.7078  1 Be 2.53, 4 Pm 2.75
Be 0.5000 0.0000 0.0133  4 O 2.00
Pm 0.5000 0.5000 0.5000  4 P 2.75, 4 Pm 2.83


5.
PmBePO: optimized geometry, GGA-PBE.

Properties
Excess energy over the best structure of this formula in the dataset in meV/atom: 53
Crystal system: orthorhombic
Calculated density in g cm⁻³: 4.795

Cell lengths 4.1718, 5.9937, 5.5675 Å; angles 90.00, 90.00, 90.00 degrees
Last column: nearest neighbours and their distance in Å.
Atoms (fractional coordinates):
P 0.0000 0.2304 0.9373  2 Be 2.35
O 0.5000 0.4011 0.3478  2 Be 1.68-1.71
O 0.5000 0.5989 0.8478  2 Be 1.68-1.71
Be 0.5000 0.6159 0.5404  2 O 1.68-1.71
Pm 0.0000 0.7521 0.9284  2 O 2.32
Be 0.5000 0.3841 0.0404  2 O 1.68-1.71
P 0.0000 0.7696 0.4373  2 Be 2.35
Pm 0.0000 0.2479 0.4284  2 O 2.32


6.
BeRePO: optimized geometry, GGA-PBE.

Properties
Excess energy over the best structure of this formula in the dataset in meV/atom: 908
Crystal system: tetragonal
Calculated density in g cm⁻³: 9.267

Cell lengths 3.3123, 3.3123, 7.9110 Å; angles 90.00, 90.00, 90.00 degrees
Last column: nearest neighbours and their distance in Å.
Atoms (fractional coordinates):
P 0.7500 0.7500 0.3114  4 Be 2.23
Re 0.7500 0.7500 0.8253  4 O 2.16
Be 0.7500 0.2500 0.5000  4 P 2.23, 4 Be 2.34
P 0.2500 0.2500 0.6886  4 Be 2.23
O 0.7500 0.2500 0.0000  4 Re 2.16, 4 O 2.34
Be 0.2500 0.7500 0.5000  4 P 2.23, 4 Be 2.34
Re 0.2500 0.2500 0.1747  4 O 2.16
O 0.2500 0.7500 0.0000  4 Re 2.16, 4 O 2.34


Copy entry 6 word for word.
BeRePO: optimized geometry, GGA-PBE.

Properties
Excess energy over the best structure of this formula in the dataset in meV/atom: 908
Crystal system: tetragonal
Calculated density in g cm⁻³: 9.267

Cell lengths 3.3123, 3.3123, 7.9110 Å; angles 90.00, 90.00, 90.00 degrees
Last column: nearest neighbours and their distance in Å.
Atoms (fractional coordinates):
P 0.7500 0.7500 0.3114  4 Be 2.23
Re 0.7500 0.7500 0.8253  4 O 2.16
Be 0.7500 0.2500 0.5000  4 P 2.23, 4 Be 2.34
P 0.2500 0.2500 0.6886  4 Be 2.23
O 0.7500 0.2500 0.0000  4 Re 2.16, 4 O 2.34
Be 0.2500 0.7500 0.5000  4 P 2.23, 4 Be 2.34
Re 0.2500 0.2500 0.1747  4 O 2.16
O 0.2500 0.7500 0.0000  4 Re 2.16, 4 O 2.34


Q: Among the records above, which one has the highest calculated density?
A: BeRePO


Q: Which of these has the highest calculated density?
A: BeRePO


Q: The highest calculated density belongs to which entry?
A: BeRePO